The following is a DFT calculation (PBE-GGA) of a relaxed structure of TlHg2Ru.

The structure in CIF format:
```
data_TlHg2Ru
_cell_length_a 5.769
_cell_length_b 8.278
_cell_length_c 3.496
_cell_angle_alpha 90.00
_cell_angle_beta 90.00
_cell_angle_gamma 90.00
_space_group_name_H-M_alt 'C m m m'
_space_group_IT_number 65
_space_group_name_Hall '-C 2 2'
loop_
_atom_site_label
_atom_site_type_symbol
_atom_site_fract_x
_atom_site_fract_y
_atom_site_fract_z
Tl1 Tl 0.000 0.000 0.000
Hg1 Hg 0.250 0.250 0.500
Ru1 Ru 0.000 0.500 0.000
```

Total magnetic moment   0.0000 μB per atom
Raw total energy   -20.23 eV for the cell shown
Excess energy over the best structure of this formula in the dataset   0.77 eV/f.u.
Calculated formation energy   0.5323 eV per atom
V   167 Å³/cell